SrLuHgBi | PBE-GGA | optimized geometry

Lattice parameters (Å, degrees): 5.550 5.550 5.550 60.00 60.00 60.00
Fractional coordinates of all 4 atoms:
Sr  0.000  0.000  0.000
Lu  0.500  0.500  0.500
Hg  0.250  0.250  0.250
Bi  0.750  0.750  0.750

## Properties
As for the formation enthalpy at 0 K: -453 meV/atom. As for the space group: F-43m. Its total magnetization is 0.0 μB per cell. As for the density of states at the Fermi level: 4.9 states/eV/cell.


Tb3Tl2Ag | PBE-GGA | optimized geometry

Lattice parameters (Å, degrees): 3.621 3.621 12.124 90.00 90.00 90.00
Fractional coordinates of all 6 atoms:
Tb  0.000  0.000  0.000
Tb  0.000  0.000  0.348
Tb  0.000  0.000  0.652
Tl  0.500  0.500  0.175
Tl  0.500  0.500  0.825
Ag  0.500  0.500  0.500

## Properties
As for the formation enthalpy at 0 K: -342 meV/atom. As for the relative energy among the computed polymorphs: 0.000 eV per atom. As for the space group: P4/mmm. Its total magnetization is 0.0 μB per cell. As for the density of states at the Fermi level: 3.8 states/eV/cell.


Sm2InGe3Pd4 | PBE-GGA | optimized geometry

Lattice parameters (Å, degrees): 4.321 4.321 10.616 90.00 90.00 90.00
Fractional coordinates of all 10 atoms:
Sm  0.000  0.500  0.240
Sm  0.500  0.000  0.760
In  0.000  0.000  0.500
Ge  0.000  0.500  0.876
Ge  0.500  0.000  0.124
Ge  0.500  0.500  0.500
Pd  0.000  0.000  0.000
Pd  0.000  0.500  0.647
Pd  0.500  0.000  0.353
Pd  0.500  0.500  0.000

## Properties
As for the formation enthalpy at 0 K: -768 meV/atom. As for the space group: P-4m2. Its total magnetization is 0.0 μB per cell. As for the density of states at the Fermi level: 5.1 states/eV/cell.


Ti5MnGa8 | PBE-GGA | optimized geometry

Lattice parameters (Å, degrees): 6.699 6.699 6.699 109.62 109.62 109.17
Fractional coordinates of all 14 atoms:
Ti  0.000  0.000  0.000
Ti  0.207  0.291  0.701
Ti  0.493  0.793  0.084
Ti  0.590  0.507  0.299
Ti  0.709  0.410  0.916
Mn  0.250  0.750  0.500
Ga  0.005  0.597  0.724
Ga  0.149  0.453  0.084
Ga  0.369  0.065  0.916
Ga  0.403  0.127  0.408
Ga  0.547  0.631  0.696
Ga  0.719  0.995  0.592
Ga  0.873  0.281  0.276
Ga  0.935  0.851  0.304

## Properties
As for the formation enthalpy at 0 K: -198 meV/atom. As for the space group: I-4. Its total magnetization is 3.3 μB per cell. As for the density of states at the Fermi level: 8.3 states/eV/cell.


Rb2Li2Au | PBE-GGA | optimized geometry

Lattice parameters (Å, degrees): 9.120 9.120 6.128 90.00 90.00 90.00
Fractional coordinates of all 10 atoms:
Rb  0.178  0.322  0.000
Rb  0.322  0.822  0.000
Rb  0.678  0.178  0.000
Rb  0.822  0.678  0.000
Li  0.118  0.618  0.500
Li  0.382  0.118  0.500
Li  0.618  0.882  0.500
Li  0.882  0.382  0.500
Au  0.000  0.000  0.000
Au  0.500  0.500  0.000

## Properties
As for the formation enthalpy at 0 K: 245 meV/atom. As for the relative energy among the computed polymorphs: 0.266 eV per atom. As for the space group: P4/mbm. Its total magnetization is 1.8 μB per cell. As for the density of states at the Fermi level: 7.4 states/eV/cell.


PPb | PBE-GGA | optimized geometry

Lattice parameters (Å, degrees): 3.595 3.595 3.595 90.00 90.00 90.00
Fractional coordinates of all 2 atoms:
P  0.000  0.000  0.000
Pb  0.500  0.500  0.500

## Properties
As for the formation enthalpy at 0 K: 414 meV/atom. As for the space group: Pm-3m. Its total magnetization is 0.0 μB per cell. As for the density of states at the Fermi level: 1.1 states/eV/cell.


KSc2CdO | PBE-GGA | optimized geometry

Lattice parameters (Å, degrees): 4.453 4.453 5.332 90.00 90.00 90.00
Fractional coordinates of all 5 atoms:
K  0.000  0.000  0.000
Sc  0.000  0.500  0.500
Sc  0.500  0.000  0.500
Cd  0.500  0.500  0.000
O  0.000  0.000  0.500

## Properties
The formation energy (no corrections) comes out at -0.89 eV/atom. As for the relative energy among the computed polymorphs: 0.000 eV per atom. As for the space group: P4/mmm. Its total magnetization is 0.0 μB per cell. As for the density of states at the Fermi level: 6.2 states/eV/cell.


Sr5Ga2I2 | PBE-GGA | optimized geometry

Lattice parameters (Å, degrees): 9.728 9.728 8.809 90.00 90.00 53.73
Fractional coordinates of all 18 atoms:
Sr  0.000  0.000  0.000
Sr  0.046  0.720  0.662
Sr  0.220  0.546  0.162
Sr  0.280  0.954  0.662
Sr  0.454  0.780  0.162
Sr  0.500  0.500  0.500
Sr  0.546  0.220  0.838
Sr  0.720  0.046  0.338
Sr  0.780  0.454  0.838
Sr  0.954  0.280  0.338
Ga  0.128  0.872  0.373
Ga  0.372  0.628  0.873
Ga  0.628  0.372  0.127
Ga  0.872  0.128  0.627
I  0.211  0.211  0.000
I  0.289  0.289  0.500
I  0.711  0.711  0.500
I  0.789  0.789  0.000

## Properties
The formation energy (no corrections) comes out at -0.77 eV/atom. As for the space group: Cmce. Its total magnetization is 0.0 μB per cell. As for the density of states at the Fermi level: 5.1 states/eV/cell.


E, respectively: -3.050 -3.921 -5.448 -5.402 -1.563 -4.145 -4.818 -2.720 eV per atom.